Below is a geometry-optimized Ag2OsPt structure, with properties calculated at the GGA-PBE level.

## Properties
space group: P2/m, No. 10
crystal system: monoclinic
E above lowest polymorph: 147 meV per atom

Cell: 4.879 2.726 5.119 Å, 90.00 109.02 90.00°
Fractional coordinates of all 4 atoms:
Ag  0.000  0.000  0.000
Ag  0.500  0.500  0.000
Os  0.000  0.500  0.500
Pt  0.500  0.000  0.500



Below is a geometry-optimized RbLaSe2 structure, with properties calculated at the GGA-PBE level.

## Properties
space group: Fm-3m, No. 225
crystal system: cubic
total DFT energy (no corrections): -0.1716 Ha/atom

Cell: 5.421 5.421 5.421 Å, 60.00 60.00 60.00°
Fractional coordinates of all 4 atoms:
Rb  0.000  0.000  0.000
La  0.500  0.500  0.500
Se  0.250  0.250  0.250
Se  0.750  0.750  0.750



Below is a geometry-optimized SnPd12Pb3 structure, with properties calculated at the GGA-PBE level.

## Properties
space group: P4/mmm, No. 123
crystal system: tetragonal
total DFT energy (no corrections): -0.1905 Ha/atom

Cell: 4.092 4.092 16.382 Å, 90.00 90.00 90.00°
Fractional coordinates of all 16 atoms:
Sn  0.000  0.000  0.000
Pd  0.000  0.500  0.120
Pd  0.000  0.500  0.374
Pd  0.000  0.500  0.626
Pd  0.000  0.500  0.880
Pd  0.500  0.000  0.120
Pd  0.500  0.000  0.374
Pd  0.500  0.000  0.626
Pd  0.500  0.000  0.880
Pd  0.500  0.500  0.000
Pd  0.500  0.500  0.248
Pd  0.500  0.500  0.500
Pd  0.500  0.500  0.752
Pb  0.000  0.000  0.247
Pb  0.000  0.000  0.500
Pb  0.000  0.000  0.753



Below is a geometry-optimized Co2As structure, with properties calculated at the GGA-PBE level.

## Properties
space group: Immm, No. 71
crystal system: orthorhombic
total DFT energy (no corrections): -0.2286 Ha/atom

Cell: 4.285 4.285 4.285 Å, 141.32 130.76 64.31°
Fractional coordinates of all 3 atoms:
Co  0.172  0.172  0.000
Co  0.828  0.828  0.000
As  0.500  0.500  0.000



Below is a geometry-optimized Pu4Pa3Ge4 structure, with properties calculated at the GGA-PBE level.

## Properties
space group: I-43m, No. 217
crystal system: cubic
total DFT energy (no corrections): -0.3366 Ha/atom

Cell: 7.312 7.312 7.312 Å, 109.47 109.47 109.47°
Fractional coordinates of all 11 atoms:
Pu  0.000  0.000  0.744
Pu  0.000  0.744  0.000
Pu  0.256  0.256  0.256
Pu  0.744  0.000  0.000
Pa  0.000  0.500  0.500
Pa  0.500  0.000  0.500
Pa  0.500  0.500  0.000
Ge  0.000  0.000  0.387
Ge  0.000  0.387  0.000
Ge  0.387  0.000  0.000
Ge  0.613  0.613  0.613



Which DOS at the Fermi energy belongs to each record? In order, 4.45; 0.00; 4.29; 3.26; 30.26 states/eV/cell.